Density functional theory data (PBE) for a geometry-optimized RbNaU4N8 structure.

a = 7.0031 Å, b = 7.0031 Å, c = 7.9471 Å
α = 63.86°, β = 63.86°, γ = 60.00°
With the nearest neighbours (Å) after each atom.
Fractional coordinates of all 14 atoms:
Rb 0.3555 0.3555 0.9334  4 N 2.80-3.05
Na 0.9792 0.9792 0.0623  3 N 2.59
U 0.5258 0.5258 0.4227  6 N 2.25
U 0.0083 0.5106 0.4729  6 N 2.20-2.24
U 0.5106 0.0083 0.4729  6 N 2.20-2.24
U 0.0083 0.0083 0.4729  6 N 2.20-2.24
N 0.3099 0.7899 0.5903  3 U 2.22-2.25
N 0.7899 0.3099 0.5903  3 U 2.22-2.25
N 0.3099 0.3099 0.5903  3 U 2.22-2.25
N 0.2190 0.2190 0.3431  3 U 2.22
N 0.7366 0.2113 0.3155  3 U 2.24-2.25
N 0.2113 0.7366 0.3155  3 U 2.24-2.25
N 0.7366 0.7366 0.3155  3 U 2.24-2.25
N 0.7992 0.7992 0.6024  3 U 2.20

Computed properties:
**V**: 291 Å³/cell
**Density of states at the Fermi level**: 10.767 states/eV/f.u.
**Final energy**: -9.20 eV per atom
**Symmetry**: R3m
**M_tot**: 2.14 Bohr magnetons per cell
**ΔE_f (raw)**: -1.06 eV/atom